AcPm2Os after structural relaxation, computed with PBE.

Structure (CIF):
```
data_AcPm2Os
_space_group_name_H-M_alt 'P n m a'
_space_group_IT_number 62
_cell_length_a 7.6018
_cell_length_b 9.8657
_cell_length_c 6.6008
_cell_angle_alpha 90.00
_cell_angle_beta 90.00
_cell_angle_gamma 90.00
loop_
_space_group_symop_operation_xyz
'x,y,z'
'-x,-y,-z'
'-x+1/2,-y,z+1/2'
'x+1/2,y,-z+1/2'
'x+1/2,-y+1/2,-z+1/2'
'-x+1/2,y+1/2,z+1/2'
'-x,y+1/2,-z'
'x,-y+1/2,z'
loop_
_atom_site_label
_atom_site_fract_x
_atom_site_fract_y
_atom_site_fract_z
_atom_site_occupancy
Ac1 0.0440 0.2500 0.1430 1
Pm1 0.1723 0.0698 0.6691 1
Os1 0.1153 0.7500 0.4303 1
```

Magnetic moment (μB per formula unit): 0.000
Energy (eV/atom): -6.305